# 1
Pr10Dy4Y (PBE, optimized geometry); formation enthalpy at 0 K = 0.4202 eV per atom
1.0
9.9739 0.0000 4.5036
4.9869 7.1532 2.2518
2.0431 0.0000 8.7712
Pr Dy Y
10 4 1
Direct
0.2500 0.5000 0.5000
0.7136 0.3478 0.8928
0.9387 0.1072 0.3478
0.3937 0.8928 0.6522
0.9541 0.6522 0.1072
0.2864 0.6522 0.1072
0.7500 0.5000 0.5000
0.0459 0.3478 0.8928
0.6063 0.1072 0.3478
0.0613 0.8928 0.6522
0.5553 0.6670 0.2224
0.7777 0.7776 0.6670
0.2223 0.2224 0.3330
0.4447 0.3330 0.7776
0.0000 0.0000 0.0000



# 2
ZnF (PBE, optimized geometry); DFT total energy = -99.57 eV for the cell shown
1.0
3.6385 0.0000 0.0000
0.0000 15.2505 0.0000
0.0000 0.0000 10.3519
Zn F
16 16
Direct
0.0000 0.0000 0.3886
0.0000 0.0000 0.6114
0.2500 0.7500 0.8614
0.2500 0.7500 0.6386
0.0000 0.5000 0.8886
0.0000 0.5000 0.1114
0.2500 0.2500 0.3614
0.2500 0.2500 0.1386
0.5000 0.0000 0.8886
0.5000 0.0000 0.1114
0.7500 0.7500 0.3614
0.7500 0.7500 0.1386
0.5000 0.5000 0.3886
0.5000 0.5000 0.6114
0.7500 0.2500 0.8614
0.7500 0.2500 0.6386
0.0000 0.8180 0.0000
0.0000 0.1820 0.0000
0.2500 0.9320 0.2500
0.2500 0.5680 0.2500
0.0000 0.3180 0.5000
0.0000 0.6820 0.5000
0.2500 0.4320 0.7500
0.2500 0.0680 0.7500
0.5000 0.8180 0.5000
0.5000 0.1820 0.5000
0.7500 0.9320 0.7500
0.7500 0.5680 0.7500
0.5000 0.3180 0.0000
0.5000 0.6820 0.0000
0.7500 0.4320 0.2500
0.7500 0.0680 0.2500



# 3
GaPd5Pt (PBE, optimized geometry); formation enthalpy at 0 K = -0.0370 eV per atom
1.0
-6.3007 2.1378 2.8583
-2.9371 -5.4328 -3.7812
-2.2234 -3.8379 3.2497
Ga Pd Pt
2 10 2
Direct
0.0000 0.0000 0.0000
0.0000 0.0000 0.5000
0.6089 0.8630 0.2582
0.1363 0.3913 0.7287
0.8630 0.6089 0.7582
0.7800 0.2200 0.2500
0.6087 0.8637 0.7713
0.3913 0.1363 0.2287
0.2200 0.7800 0.7500
0.1370 0.3911 0.2418
0.8637 0.6087 0.2713
0.3911 0.1370 0.7418
0.5023 0.4977 0.2500
0.4977 0.5023 0.7500



# 4
LiCeAlGa (PBE, optimized geometry); formation enthalpy at 0 K = -0.2910 eV per atom
1.0
4.8921 0.0000 0.0000
2.4460 4.2367 0.0000
2.4460 1.4122 3.9944
Li Ga Ce Al
1 1 1 1
Direct
0.5000 0.5000 0.5000
0.2500 0.2500 0.2500
0.0000 0.0000 0.0000
0.7500 0.7500 0.7500



# 5
TlAgTe2 (PBE, optimized geometry); DFT total energy = -11.35 eV for the cell shown
1.0
3.4219 0.0481 0.0000
-0.7151 3.3467 0.0000
0.0000 0.0000 9.8274
Tl Te Ag
1 2 1
Direct
0.5000 0.5000 0.2500
0.0000 0.0000 0.9630
0.0000 0.0000 0.5370
0.5000 0.5000 0.7500



# 6
LiGe3Pd6 (PBE, optimized geometry); formation enthalpy at 0 K = -0.4097 eV per atom
1.0
4.0863 0.0000 0.0000
0.0000 8.4600 -0.8855
0.0000 -3.7495 9.6688
Li Ge Pd
2 6 12
Direct
0.7500 0.1157 0.7180
0.2500 0.8843 0.2820
0.7500 0.5406 0.8357
0.2500 0.4594 0.1643
0.7500 0.7381 0.5339
0.2500 0.2619 0.4661
0.7500 0.1367 0.0505
0.2500 0.8633 0.9495
0.7500 0.4617 0.5782
0.2500 0.5383 0.4218
0.7500 0.8814 0.1128
0.2500 0.1186 0.8872
0.7500 0.3847 0.9919
0.2500 0.6153 0.0081
0.7500 0.6799 0.2790
0.2500 0.3201 0.7210
0.7500 0.0770 0.4459
0.2500 0.9230 0.5541
0.7500 0.8356 0.7990
0.2500 0.1644 0.2010



# 7
ReHgBr2 (PBE, optimized geometry); distance to the lowest polymorph of the same formula = 0.132 eV/atom
1.0
2.1336 0.0000 10.6825
-1.0668 1.8478 10.6825
-1.0668 -1.8478 10.6825
Re Hg Br
1 1 2
Direct
0.5000 0.5000 0.5000
0.0000 0.0000 0.0000
0.8786 0.8786 0.8786
0.1214 0.1214 0.1214



# 8
Ta2TcRu (PBE, optimized geometry); formation enthalpy at 0 K = -0.1773 eV per atom
1.0
-3.2504 -3.1329 -0.0622
1.7712 -1.8121 -1.2888
2.2204 -2.3837 4.0303
Ru Ta Tc
1 2 1
Direct
0.5000 0.7621 0.7710
0.0000 0.9919 0.9834
0.5000 0.2590 0.2679
0.0000 0.4870 0.4777



# 9
Mn2GeCCl (PBE, optimized geometry); DFT total energy = -31.08 eV for the cell shown
1.0
3.9777 0.0000 0.0000
0.0000 5.4973 0.0000
0.0000 0.0000 3.9777
Ge Mn C Cl
1 2 1 1
Direct
0.0000 0.5000 0.0000
0.0000 0.0000 0.5000
0.5000 0.0000 0.0000
0.0000 0.0000 0.0000
0.5000 0.5000 0.5000



# 10
CuTcSnSe2 (PBE, optimized geometry); DFT total energy = -23.50 eV for the cell shown
1.0
-4.0190 -1.3991 2.3371
0.9027 -4.5957 -1.1989
2.5686 -0.5603 4.0817
Cu Sn Se Tc
1 1 2 1
Direct
0.0000 0.5000 0.0000
0.5000 0.5000 0.5000
0.0000 0.0000 0.5000
0.5000 0.0000 0.0000
0.0000 0.0000 0.0000



# 11
DyHo12In3 (PBE, optimized geometry); formation enthalpy at 0 K = -0.1896 eV per atom
1.0
-2.2743 -0.5249 4.2400
-0.8092 -4.6635 -1.0113
17.0580 -4.8146 8.5535
Dy Ho In
1 12 3
Direct
0.0000 0.0000 0.0000
0.5000 0.5000 0.0000
0.5000 0.5000 0.2546
0.5000 0.5000 0.5000
0.5000 0.5000 0.7454
0.5000 0.0000 0.1302
0.5000 0.0000 0.3770
0.5000 0.0000 0.6230
0.5000 0.0000 0.8698
0.0000 0.5000 0.1302
0.0000 0.5000 0.3770
0.0000 0.5000 0.6230
0.0000 0.5000 0.8698
0.0000 0.0000 0.2560
0.0000 0.0000 0.5000
0.0000 0.0000 0.7440



# 12
PaGe2Pd6 (PBE, optimized geometry); formation enthalpy at 0 K = -0.4699 eV per atom
1.0
4.5314 0.4534 1.1928
1.3931 5.8275 1.7756
0.8260 -0.1268 6.1931
Pa Ge Pd
1 2 6
Direct
0.0000 0.0000 0.0000
0.3440 0.6565 0.6565
0.6560 0.3435 0.3435
0.1733 0.1373 0.5158
0.8267 0.8627 0.4842
0.8267 0.4842 0.8627
0.5000 0.7940 0.2060
0.5000 0.2060 0.7940
0.1733 0.5158 0.1373



Number 1: volume 37.33 Å³/atom. Number 2: volume 17.95 Å³/atom. Number 3: volume 17.05 Å³/atom. Number 4: volume 20.70 Å³/atom. Number 5: volume 28.22 Å³/atom. Number 6: volume 16.03 Å³/atom. Number 7: volume 31.59 Å³/atom. Number 8: volume 16.27 Å³/atom. Number 9: volume 17.40 Å³/atom. Number 10: volume 22.79 Å³/atom. Number 11: volume 28.81 Å³/atom. Number 12: volume 17.26 Å³/atom.